Record 1
The following is a PBE-GGA calculation of a geometry-optimized CaEu3Pd structure, from Alexandria.

a b c (Å): 5.833 5.833 5.833
angles (deg): 90.00 90.00 90.00
Space group Pm-3m (No. 221)
Unique sites:
Ca1 0.000 0.000 0.000 x1
Eu1 0.000 0.500 0.500 x3
Pd1 0.500 0.500 0.500 x1

Computed properties:
Formation energy from the elements (meV/atom): -262
Electronic total energy (eV/atom): -7.865

---

Record 2
The following is a PBE-GGA calculation of a geometry-optimized CaEuSbPd structure, from Alexandria.

a b c (Å): 7.473 7.473 7.473
angles (deg): 90.00 90.00 90.00
Space group F-43m (No. 216)
Unique sites:
Ca1 0.000 0.000 0.000 x4
Eu1 0.000 0.000 0.500 x4
Sb1 0.250 0.250 0.750 x4
Pd1 0.250 0.250 0.250 x4

Computed properties:
Electronic total energy (eV/atom): -6.198
E_form (uncorrected) (kJ/mol of atoms): -77

---

Record 3
The following is a PBE-GGA calculation of a geometry-optimized CaEuSnPd structure, from Alexandria.

a b c (Å): 7.491 7.491 7.491
angles (deg): 90.00 90.00 90.00
Space group F-43m (No. 216)
Unique sites:
Ca1 0.000 0.000 0.000 x4
Eu1 0.000 0.000 0.500 x4
Sn1 0.250 0.250 0.750 x4
Pd1 0.250 0.250 0.250 x4

Computed properties:
Formation energy from the elements (meV/atom): -595
Electronic total energy (eV/atom): -5.963

---

Record 4
The following is a PBE-GGA calculation of a geometry-optimized CaEuTlPd structure, from Alexandria.

a b c (Å): 7.519 7.519 7.519
angles (deg): 90.00 90.00 90.00
Space group F-43m (No. 216)
Unique sites:
Ca1 0.000 0.000 0.000 x4
Eu1 0.000 0.000 0.500 x4
Tl1 0.250 0.250 0.250 x4
Pd1 0.250 0.250 0.750 x4

Computed properties:
Formation energy from the elements (meV/atom): -456
Electronic total energy (eV/atom): -5.415

---

Record 5
The following is a PBE-GGA calculation of a geometry-optimized CaEuZnPd structure, from Alexandria.

a b c (Å): 7.289 7.289 7.289
angles (deg): 90.00 90.00 90.00
Space group F-43m (No. 216)
Unique sites:
Ca1 0.000 0.000 0.000 x4
Eu1 0.000 0.000 0.500 x4
Zn1 0.250 0.250 0.250 x4
Pd1 0.250 0.250 0.750 x4

Computed properties:
Formation energy from the elements (meV/atom): -440
Electronic total energy (eV/atom): -5.125

---

Record 6
The following is a PBE-GGA calculation of a geometry-optimized CaPmEu2 structure, from Alexandria.

a b c (Å): 8.563 8.563 8.563
angles (deg): 90.00 90.00 90.00
Space group Fm-3m (No. 225)
Unique sites:
Ca1 0.000 0.000 0.000 x4
Pm1 0.000 0.000 0.500 x4
Eu1 0.250 0.250 0.250 x8

Computed properties:
Formation energy from the elements (meV/atom): 92
Electronic total energy (eV/atom): -6.733
ΔE to the lowest computed polymorph (kJ/mol of formula units): 16

---

Record 7
The following is a PBE-GGA calculation of a geometry-optimized CaPmEu2 structure, from Alexandria.

a b c (Å): 3.786 3.786 11.060
angles (deg): 90.00 90.00 90.00
Space group P4/mmm (No. 123)
Unique sites:
Ca1 0.000 0.000 0.000 x1
Pm1 0.000 0.000 0.500 x1
Eu1 0.500 0.500 0.262 x2

Computed properties:
Formation energy from the elements (meV/atom): 51
Electronic total energy (eV/atom): -6.774
ΔE to the lowest computed polymorph (kJ/mol of formula units): 0

---

Record 8
The following is a PBE-GGA calculation of a geometry-optimized CaPmEu2 structure, from Alexandria.

a b c (Å): 3.8098 3.8098 37.8314
angles (deg): 90.00 90.00 120.00
Space group R-3m (No. 166, hexagonal axes)
Unique sites:
Ca1 0.0000 0.0000 0.0000 x3
Pm1 0.0000 0.0000 0.5000 x3
Eu1 0.0000 0.0000 0.2477 x6

Computed properties:
Formation energy from the elements (meV/atom): 50
Electronic total energy (eV/atom): -6.776
ΔE to the lowest computed polymorph (kJ/mol of formula units): 0